[1]
# PBE AgHg2MoPt, relaxed
# crystal system: tetragonal
# total magnetization: 4.4 μB/f.u.
# SG: P4/mmm, No. 123
# N(E_F): 0.468 states/eV/atom
# energy of formation: 1.34 eV/atom
data_AgHg2MoPt
_chemical_formula_sum 'Ag1 Hg2 Mo1 Pt1'
_space_group_name_H-M_alt 'P 1'
_space_group_IT_number 1
_space_group_name_Hall 'P 1'
_cell_length_a 5.093
_cell_length_b 5.119
_cell_length_c 5.093
_cell_angle_alpha 90.00
_cell_angle_beta 90.00
_cell_angle_gamma 90.00
loop_
_atom_site_label
_atom_site_type_symbol
_atom_site_fract_x
_atom_site_fract_y
_atom_site_fract_z
Ag1 Ag 0.000 0.000 0.000
Mo1 Mo 0.500 0.500 0.500
Hg1 Hg 0.000 0.000 0.500
Hg2 Hg 0.500 0.000 0.000
Pt1 Pt 0.000 0.500 0.000

***

[2]
# PBE AgSnHgMo2, relaxed
# crystal system: tetragonal
# total magnetization: 5.6 μB/f.u.
# SG: P4/mmm, No. 123
# N(E_F): 0.868 states/eV/atom
# energy of formation: 1.66 eV/atom
data_AgSnHgMo2
_chemical_formula_sum 'Ag1 Sn1 Hg1 Mo2'
_space_group_name_H-M_alt 'P 1'
_space_group_IT_number 1
_space_group_name_Hall 'P 1'
_cell_length_a 5.184
_cell_length_b 5.055
_cell_length_c 5.184
_cell_angle_alpha 90.00
_cell_angle_beta 90.00
_cell_angle_gamma 90.00
loop_
_atom_site_label
_atom_site_type_symbol
_atom_site_fract_x
_atom_site_fract_y
_atom_site_fract_z
Mo1 Mo 0.000 0.000 0.500
Mo2 Mo 0.500 0.000 0.000
Hg1 Hg 0.500 0.500 0.500
Ag1 Ag 0.000 0.500 0.000
Sn1 Sn 0.000 0.000 0.000

***

[3]
# PBE Zr2AgHgMo, relaxed
# crystal system: tetragonal
# total magnetization: 0.0 μB/f.u.
# SG: P4/mmm, No. 123
# N(E_F): 1.321 states/eV/atom
# energy of formation: 1.31 eV/atom
data_Zr2AgHgMo
_chemical_formula_sum 'Zr2 Ag1 Hg1 Mo1'
_space_group_name_H-M_alt 'P 1'
_space_group_IT_number 1
_space_group_name_Hall 'P 1'
_cell_length_a 5.122
_cell_length_b 4.839
_cell_length_c 5.122
_cell_angle_alpha 90.00
_cell_angle_beta 90.00
_cell_angle_gamma 90.00
loop_
_atom_site_label
_atom_site_type_symbol
_atom_site_fract_x
_atom_site_fract_y
_atom_site_fract_z
Zr1 Zr 0.000 0.000 0.500
Zr2 Zr 0.500 0.000 0.000
Mo1 Mo 0.000 0.500 0.000
Hg1 Hg 0.500 0.500 0.500
Ag1 Ag 0.000 0.000 0.000

***

[4]
# PBE AgHgN2, relaxed
# crystal system: trigonal
# total magnetization: 0.0 μB/f.u.
# SG: R-3m, No. 166
# N(E_F): 0.699 states/eV/atom
# raw formation energy: 1408 meV per atom
data_AgHgN2
_chemical_formula_sum 'Ag1 Hg1 N2'
_space_group_name_H-M_alt 'P 1'
_space_group_IT_number 1
_space_group_name_Hall 'P 1'
_cell_length_a 6.458
_cell_length_b 6.458
_cell_length_c 6.458
_cell_angle_alpha 30.48
_cell_angle_beta 30.48
_cell_angle_gamma 30.48
loop_
_atom_site_label
_atom_site_type_symbol
_atom_site_fract_x
_atom_site_fract_y
_atom_site_fract_z
Hg1 Hg 0.000 0.000 0.000
Ag1 Ag 0.500 0.500 0.500
N1 N 0.887 0.887 0.887
N2 N 0.113 0.113 0.113

***

What did the second record say?
# PBE AgSnHgMo2, relaxed
# crystal system: tetragonal
# total magnetization: 5.6 μB/f.u.
# SG: P4/mmm, No. 123
# N(E_F): 0.868 states/eV/atom
# energy of formation: 1.66 eV/atom
data_AgSnHgMo2
_chemical_formula_sum 'Ag1 Sn1 Hg1 Mo2'
_space_group_name_H-M_alt 'P 1'
_space_group_IT_number 1
_space_group_name_Hall 'P 1'
_cell_length_a 5.184
_cell_length_b 5.055
_cell_length_c 5.184
_cell_angle_alpha 90.00
_cell_angle_beta 90.00
_cell_angle_gamma 90.00
loop_
_atom_site_label
_atom_site_type_symbol
_atom_site_fract_x
_atom_site_fract_y
_atom_site_fract_z
Mo1 Mo 0.000 0.000 0.500
Mo2 Mo 0.500 0.000 0.000
Hg1 Hg 0.500 0.500 0.500
Ag1 Ag 0.000 0.500 0.000
Sn1 Sn 0.000 0.000 0.000

***

Question: Among the records above, which one has the lowest N(E_F)?
Answer: AgHg2MoPt